Compound: Mo15Se19
Source: Alexandria
Functional: meta-GGA SCAN
Structure: PBEsol geometry

a b c (Å): 20.302 20.302 20.302
angles (deg): 26.85 26.85 26.85
Sites, in units of the cell vectors:
Mo1 0.003 0.130 0.807
Mo2 0.041 0.367 0.225
Mo3 0.088 0.250 0.412
Mo4 0.130 0.807 0.003
Mo5 0.133 0.459 0.275
Mo6 0.193 0.997 0.870
Mo7 0.225 0.041 0.367
Mo8 0.250 0.412 0.088
Mo9 0.275 0.133 0.459
Mo10 0.307 0.630 0.503
Mo11 0.367 0.225 0.041
Mo12 0.370 0.497 0.693
Mo13 0.412 0.088 0.250
Mo14 0.459 0.275 0.133
Mo15 0.497 0.693 0.370
Mo16 0.503 0.307 0.630
Mo17 0.541 0.725 0.867
Mo18 0.588 0.912 0.750
Mo19 0.630 0.503 0.307
Mo20 0.633 0.775 0.959
Mo21 0.693 0.370 0.497
Mo22 0.725 0.867 0.541
Mo23 0.750 0.588 0.912
Mo24 0.775 0.959 0.633
Mo25 0.807 0.003 0.130
Mo26 0.867 0.541 0.725
Mo27 0.870 0.193 0.997
Mo28 0.912 0.750 0.588
Mo29 0.959 0.633 0.775
Mo30 0.997 0.870 0.193
Se1 0.044 0.684 0.417
Se2 0.054 0.054 0.054
Se3 0.056 0.308 0.683
Se4 0.065 0.435 0.750
Se5 0.083 0.816 0.456
Se6 0.177 0.177 0.177
Se7 0.183 0.808 0.556
Se8 0.184 0.544 0.917
Se9 0.192 0.444 0.817
Se10 0.250 0.935 0.565
Se11 0.308 0.683 0.056
Se12 0.316 0.583 0.956
Se13 0.317 0.944 0.692
Se14 0.323 0.323 0.323
Se15 0.417 0.044 0.684
Se16 0.435 0.750 0.065
Se17 0.444 0.817 0.192
Se18 0.446 0.446 0.446
Se19 0.456 0.083 0.816
Se20 0.544 0.917 0.184
Se21 0.554 0.554 0.554
Se22 0.556 0.183 0.808
Se23 0.565 0.250 0.935
Se24 0.583 0.956 0.316
Se25 0.677 0.677 0.677
Se26 0.683 0.056 0.308
Se27 0.684 0.417 0.044
Se28 0.692 0.317 0.944
Se29 0.750 0.065 0.435
Se30 0.808 0.556 0.183
Se31 0.816 0.456 0.083
Se32 0.817 0.192 0.444
Se33 0.823 0.823 0.823
Se34 0.917 0.184 0.544
Se35 0.935 0.565 0.250
Se36 0.944 0.692 0.317
Se37 0.946 0.946 0.946
Se38 0.956 0.316 0.583

Values from the calculation:
- SG: No. 167
- ΔE_f (raw): -0.527 eV/atom
- DFT total energy: -1845.39 eV for the cell shown

=====

Compound: LaTa2Br
Source: Alexandria
Functional: meta-GGA SCAN
Structure: PBEsol geometry

a b c (Å): 5.017 5.017 5.017
angles (deg): 123.12 123.12 84.68
Sites, in units of the cell vectors:
La1 0.000 0.000 0.000
Ta1 0.500 0.500 0.000
Ta2 0.750 0.250 0.500
Br1 0.250 0.750 0.500

Values from the calculation:
- SG: No. 119
- ΔE_f (raw): 0.671 eV/atom
- DFT total energy: -193.05 eV for the cell shown
- Offset from the most stable computed form: 0.000 kcal/mol of atoms

=====

Compound: YMnP2
Source: Alexandria
Functional: meta-GGA SCAN
Structure: PBEsol geometry

a b c (Å): 4.413 4.413 4.413
angles (deg): 60.00 60.00 60.00
Sites, in units of the cell vectors:
Y1 0.000 0.000 0.000
Mn1 0.500 0.500 0.500
P1 0.250 0.250 0.250
P2 0.750 0.750 0.750

Values from the calculation:
- SG: No. 225
- DFT total energy: -68.09 eV for the cell shown
- Offset from the most stable computed form: 8.309 kcal/mol of atoms
- Formation energy: -0.30 eV/atom

=====

Compound: TcOs2Cl
Source: Alexandria
Functional: meta-GGA SCAN
Structure: PBEsol geometry

a b c (Å): 5.127 5.127 5.127
angles (deg): 148.06 128.57 61.83
Sites, in units of the cell vectors:
Tc1 0.000 0.000 0.000
Os1 0.459 0.459 0.000
Os2 0.726 0.226 0.500
Cl1 0.222 0.722 0.500

Values from the calculation:
- SG: No. 44
- ΔE_f (raw): 1.083 eV/atom
- DFT total energy: -182.46 eV for the cell shown
- Offset from the most stable computed form: 8.380 kcal/mol of atoms

=====

Compound: SnPdBr3
Source: Alexandria
Functional: meta-GGA SCAN
Structure: PBEsol geometry

a b c (Å): 5.485 5.485 5.485
angles (deg): 90.00 90.00 90.00
Sites, in units of the cell vectors:
Sn1 0.000 0.000 0.000
Pd1 0.500 0.500 0.500
Br1 0.000 0.000 0.500
Br2 0.000 0.500 0.000
Br3 0.500 0.000 0.000

Values from the calculation:
- SG: No. 221
- ΔE_f (raw): 0.116 eV/atom
- DFT total energy: -126.50 eV for the cell shown

=====

Compound: Na4Pt3
Source: Alexandria
Functional: meta-GGA SCAN
Structure: PBEsol geometry

a b c (Å): 5.372 5.372 5.322
angles (deg): 90.00 90.00 120.00
Sites, in units of the cell vectors:
Na1 0.000 0.000 0.236
Na2 0.000 0.000 0.764
Na3 0.333 0.667 0.500
Na4 0.667 0.333 0.500
Pt1 0.000 0.500 0.000
Pt2 0.500 0.000 0.000
Pt3 0.500 0.500 0.000

Values from the calculation:
- SG: No. 191
- DFT total energy: -229.55 eV for the cell shown
- Formation energy: -0.30 eV/atom